Density functional theory data (PBE with a Hubbard U) for a relaxed MnIr3F crystal.

```
MnIr3F
1.0
4.280 0.000 0.000
0.000 4.280 0.000
0.000 0.000 4.280
Mn Ir F
1 3 1
Cartesian
0.000 0.000 0.000
0.000 2.140 2.140
2.140 0.000 2.140
2.140 2.140 0.000
2.140 2.140 2.140
```

The total magnetization comes out at 4.51 μB per formula unit. As for the density of states at the Fermi level: 6.5 states/eV per cell. The value obtained for the raw total energy is -6.061 eV per atom. The space group is Pm-3m (221). As for the crystal system: cubic.